[1]
Compound: NiAgMo2
Source: the Alexandria database
Functional: PBE
Structure: relaxed

```
NiAgMo2
1.0
2.6801 0.0000 0.0000
0.0000 2.6801 0.0000
0.0000 0.0000 8.3185
Ni Ag Mo
1 1 2
Direct
0.0000 0.0000 0.0000
0.0000 0.0000 0.5000
0.5000 0.5000 0.2233
0.5000 0.5000 0.7767
```

* offset from the most stable computed form: 0.32 eV/f.u.
* ρ: 9.961 Mg/m³
* space-group type: P4/mmm (123)
* total energy: -7.292 eV/atom


[2]
Compound: AcICl
Source: the Alexandria database
Functional: PBE
Structure: relaxed

```
AcICl
1.0
8.4095 -2.1528 0.0000
8.4095 2.1528 0.0000
-2.2674 0.0000 6.9549
Ac I Cl
2 2 2
Direct
0.2486 0.2486 0.2475
0.7514 0.7514 0.7525
0.1086 0.1086 0.8083
0.8914 0.8914 0.1917
0.3590 0.3590 0.6610
0.6410 0.6410 0.3390
```

* offset from the most stable computed form: 0.06 eV/f.u.
* ρ: 5.135 Mg/m³
* uncorrected formation energy: -1637 meV/atom
* space-group type: C2/m (12)
* total energy: -4.139 eV/atom


[3]
Compound: LaZnGa2
Source: the Alexandria database
Functional: PBE
Structure: relaxed

```
LaZnGa2
1.0
2.1608 1.2475 5.4514
-2.1608 1.2475 5.4514
0.0000 -2.4951 5.4514
La Zn Ga
1 1 2
Direct
0.0000 0.0000 0.0000
0.5000 0.5000 0.5000
0.2164 0.2164 0.2164
0.7836 0.7836 0.7836
```

* ρ: 6.474 Mg/m³
* space-group type: R-3m (166)
* total energy: -3.553 eV/atom


[4]
Compound: Y5Sb2Pb
Source: the Alexandria database
Functional: PBE
Structure: relaxed

```
Y5Sb2Pb
1.0
6.1227 0.0000 0.0000
1.4719 5.9951 0.0000
0.1022 0.2703 6.4072
Y Sb Pb
5 2 1
Direct
0.0000 0.0000 0.0000
0.0181 0.0335 0.4856
0.4463 0.5227 0.2436
0.4912 0.1197 0.7513
0.8869 0.5375 0.7300
0.3627 0.6449 0.7436
0.9514 0.5100 0.2293
0.5206 0.0103 0.2580
```

* ρ: 6.321 Mg/m³
* uncorrected formation energy: -631 meV/atom
* space-group type: P1 (1)
* total energy: -6.165 eV/atom


[5]
Compound: PuUB12
Source: the Alexandria database
Functional: PBE
Structure: relaxed

```
PuUB12
1.0
4.0844 0.0000 0.0000
0.0000 4.0844 0.0000
0.0000 0.0000 8.1837
Pu U B
1 1 12
Direct
0.0000 0.0000 0.0000
0.0000 0.0000 0.5000
0.1977 0.5000 0.2510
0.1977 0.5000 0.7490
0.5000 0.1977 0.2510
0.5000 0.1977 0.7490
0.5000 0.5000 0.0993
0.5000 0.5000 0.4014
0.5000 0.5000 0.5986
0.5000 0.5000 0.9007
0.5000 0.8023 0.2510
0.5000 0.8023 0.7490
0.8023 0.5000 0.2510
0.8023 0.5000 0.7490
```

* ρ: 7.441 Mg/m³
* space-group type: P4/mmm (123)
* total energy: -7.889 eV/atom


[6]
Compound: Be2CdPbO
Source: the Alexandria database
Functional: PBE
Structure: relaxed

```
Be2CdPbO
1.0
4.3239 0.0000 0.0000
0.0000 4.3239 0.0000
0.0000 0.0000 5.9770
Be Cd Pb O
2 1 1 1
Direct
0.0000 0.5000 0.0000
0.5000 0.0000 0.0000
0.0000 0.0000 0.0000
0.0000 0.0000 0.5000
0.5000 0.5000 0.5000
```

* ρ: 5.255 Mg/m³
* uncorrected formation energy: 1014 meV/atom
* space-group type: P4/mmm (123)
* total energy: -2.392 eV/atom


[7]
Compound: PmDyTmTh2
Source: the Alexandria database
Functional: PBE
Structure: relaxed

```
PmDyTmTh2
1.0
3.3298 -7.8060 0.0000
3.3298 7.8060 0.0000
0.0000 0.0000 6.6626
Pm Dy Tm Th
2 2 2 4
Direct
0.1522 0.8478 0.7500
0.8478 0.1522 0.2500
0.2602 0.7398 0.2500
0.7398 0.2602 0.7500
0.3485 0.6515 0.7500
0.6515 0.3485 0.2500
0.2532 0.2532 0.0000
0.2532 0.2532 0.5000
0.7468 0.7468 0.0000
0.7468 0.7468 0.5000
```

* ρ: 9.018 Mg/m³
* space-group type: Cmcm (63)
* total energy: -5.316 eV/atom


[8]
Compound: Tl3B
Source: the Alexandria database
Functional: PBE
Structure: relaxed

```
Tl3B
1.0
0.0000 3.7085 3.7085
3.7085 0.0000 3.7085
3.7085 3.7085 0.0000
Tl B
3 1
Direct
0.0000 0.0000 0.0000
0.2500 0.2500 0.2500
0.7500 0.7500 0.7500
0.5000 0.5000 0.5000
```

* offset from the most stable computed form: 0.00 eV/f.u.
* ρ: 10.157 Mg/m³
* space-group type: Fm-3m (225)
* total energy: -2.463 eV/atom


[9]
Compound: Li2MgZn6
Source: the Alexandria database
Functional: PBE
Structure: relaxed

```
Li2MgZn6
1.0
7.6247 0.0000 0.0000
-3.8123 6.6032 0.0000
0.0000 0.0000 2.8728
Li Mg Zn
2 1 6
Direct
0.3333 0.6667 0.0000
0.6667 0.3333 0.0000
0.0000 0.0000 0.0000
0.0000 0.3363 0.5000
0.0000 0.6637 0.5000
0.3363 0.0000 0.5000
0.3363 0.3363 0.5000
0.6637 0.0000 0.5000
0.6637 0.6637 0.5000
```

* offset from the most stable computed form: 0.00 eV/f.u.
* ρ: 4.944 Mg/m³
* space-group type: P6/mmm (191)
* total energy: -1.593 eV/atom


[10]
Compound: PrPu2Au4
Source: the Alexandria database
Functional: PBE
Structure: relaxed

```
PrPu2Au4
1.0
-2.3402 2.3402 8.2549
2.3402 -2.3402 8.2549
2.3402 2.3402 -8.2549
Pr Pu Au
1 2 4
Direct
0.0000 0.0000 0.0000
0.2515 0.2515 0.0000
0.7485 0.7485 0.0000
0.1243 0.6243 0.5000
0.3757 0.8757 0.5000
0.6243 0.1243 0.5000
0.8757 0.3757 0.5000
```

* ρ: 13.010 Mg/m³
* space-group type: I4/mmm (139)
* total energy: -7.057 eV/atom


[11]
Compound: YIn2Si2
Source: the Alexandria database
Functional: PBE
Structure: relaxed

```
YIn2Si2
1.0
-2.5217 2.5217 4.6744
2.5217 -2.5217 4.6744
2.5217 2.5217 -4.6744
Y In Si
1 2 2
Direct
0.0000 0.0000 0.0000
0.3526 0.3526 0.0000
0.6474 0.6474 0.0000
0.2500 0.7500 0.5000
0.7500 0.2500 0.5000
```

* ρ: 5.233 Mg/m³
* uncorrected formation energy: 121 meV/atom
* space-group type: I4/mmm (139)
* total energy: -4.436 eV/atom


[12]
Compound: Ba2TcW
Source: the Alexandria database
Functional: PBE
Structure: relaxed

```
Ba2TcW
1.0
3.6888 -2.1327 0.0000
3.6888 2.1327 0.0000
-2.4645 0.0000 9.4239
Ba Tc W
2 1 1
Direct
0.0000 0.0000 0.0000
0.1810 0.1810 0.5378
0.4241 0.4241 0.2702
0.7566 0.7566 0.2678
```

* offset from the most stable computed form: 0.00 eV/f.u.
* ρ: 6.232 Mg/m³
* space-group type: Cm (8)
* total energy: -6.283 eV/atom